The following is a GGA-PBE calculation of HRhAu after structural relaxation, from Alexandria via LeMat-Bulk.

a b c (Å): 2.8966 2.8966 4.8798
angles (deg): 90.00 90.00 120.00
Fractional positions:
Rh 0.6667 0.3333 0.4519
Au 0.0000 0.0000 0.9699
H 0.3333 0.6667 0.5782

## Properties
- ΔE to the lowest computed polymorph (eV per atom) = 0.022
- space group = P3m1, No. 156